1.
First-principles (meta-GGA SCAN) data for a crystal of Y2BeAl relaxed with PBEsol, as listed in the Alexandria database.

Results
**Spin magnetization**: 0.00 μB/cell
**V**: 23.33 A^3/atom
**Formation energy**: 0.1015 eV per atom

a b c (Å): 3.5062 4.7524 6.1892
angles (deg): 102.23 90.00 111.65
Atoms (fractional coordinates):
Al (0.5000, 0.0000, 0.0000)
Be (0.0000, 0.0000, 0.5000)
Y (0.7432, 0.4863, 0.7339)
Y (0.2568, 0.5137, 0.2661)



2.
First-principles (meta-GGA SCAN) data for a crystal of YBeAl relaxed with PBEsol, as listed in the Alexandria database.

Results
**Spin magnetization**: 0.00 μB/cell
**V**: 19.10 A^3/atom
**Formation energy**: -0.2430 eV per atom

a b c (Å): 4.3273 4.3273 4.3273
angles (deg): 60.00 60.00 60.00
Atoms (fractional coordinates):
Y (0.0000, 0.0000, 0.0000)
Al (0.5000, 0.5000, 0.5000)
Be (0.7500, 0.7500, 0.7500)



3.
First-principles (meta-GGA SCAN) data for a crystal of YBe2Al relaxed with PBEsol, as listed in the Alexandria database.

Results
**Spin magnetization**: 0.26 μB/cell
**V**: 16.24 A^3/atom
**Formation energy**: -0.1903 eV per atom

a b c (Å): 3.8055 3.8055 5.6272
angles (deg): 70.24 70.24 60.00
Atoms (fractional coordinates):
Be (0.0211, 0.0211, 0.9367)
Be (0.6942, 0.6942, 0.9174)
Al (0.2915, 0.2915, 0.1254)
Y (0.4881, 0.4881, 0.5358)



4.
First-principles (meta-GGA SCAN) data for a crystal of Y2BeAl relaxed with PBEsol, as listed in the Alexandria database.

Results
**Spin magnetization**: 0.00 μB/cell
**V**: 23.26 A^3/atom
**Formation energy**: 0.0828 eV per atom

a b c (Å): 3.5356 3.5356 8.8321
angles (deg): 78.45 78.45 60.00
Atoms (fractional coordinates):
Y (0.2569, 0.2569, 0.2292)
Y (0.7431, 0.7431, 0.7708)
Be (0.0000, 0.0000, 0.0000)
Al (0.5000, 0.5000, 0.5000)



5.
First-principles (meta-GGA SCAN) data for a crystal of BeAl2Zn relaxed with PBEsol, as listed in the Alexandria database.

Results
**Spin magnetization**: 0.00 μB/cell
**V**: 13.88 A^3/atom
**Formation energy**: 0.1204 eV per atom

a b c (Å): 2.7129 2.7129 7.5429
angles (deg): 90.00 90.00 90.00
Atoms (fractional coordinates):
Be (0.5000, 0.5000, 0.0000)
Zn (0.5000, 0.5000, 0.5000)
Al (0.0000, 0.0000, 0.7740)
Al (0.0000, 0.0000, 0.2260)



6.
First-principles (meta-GGA SCAN) data for a crystal of BeAl2Zn relaxed with PBEsol, as listed in the Alexandria database.

Results
**Spin magnetization**: 0.02 μB/cell
**V**: 13.89 A^3/atom
**Formation energy**: 0.1406 eV per atom

a b c (Å): 3.7697 3.8388 3.8388
angles (deg): 90.00 90.00 90.00
Atoms (fractional coordinates):
Be (0.5000, 0.5000, 0.5000)
Zn (0.5000, 0.0000, 0.0000)
Al (0.0000, 0.0000, 0.5000)
Al (0.0000, 0.5000, 0.0000)



7.
First-principles (meta-GGA SCAN) data for a crystal of BeAl2Zn relaxed with PBEsol, as listed in the Alexandria database.

Results
**Spin magnetization**: 0.00 μB/cell
**V**: 14.85 A^3/atom
**Formation energy**: 0.1710 eV per atom

a b c (Å): 2.6415 3.9269 6.1956
angles (deg): 108.48 102.31 90.00
Atoms (fractional coordinates):
Al (0.8143, 0.8143, 0.6286)
Al (0.1857, 0.1857, 0.3714)
Be (0.5000, 0.0000, 0.0000)
Zn (0.0000, 0.5000, 0.0000)



8.
First-principles (meta-GGA SCAN) data for a crystal of BeAl2Zn relaxed with PBEsol, as listed in the Alexandria database.

Results
**Spin magnetization**: 0.00 μB/cell
**V**: 14.26 A^3/atom
**Formation energy**: 0.2690 eV per atom

a b c (Å): 4.3210 4.3210 4.3210
angles (deg): 60.00 60.00 60.00
Atoms (fractional coordinates):
Zn (0.2500, 0.2500, 0.2500)
Al (0.7500, 0.7500, 0.7500)
Al (0.0000, 0.0000, 0.0000)
Be (0.5000, 0.5000, 0.5000)



9.
First-principles (meta-GGA SCAN) data for a crystal of Be2AlZn2 relaxed with PBEsol, as listed in the Alexandria database.

Results
**Spin magnetization**: 0.00 μB/cell
**V**: 12.85 A^3/atom
**Formation energy**: 0.2290 eV per atom

a b c (Å): 3.3626 3.3626 6.1581
angles (deg): 105.84 105.84 90.00
Atoms (fractional coordinates):
Be (0.2500, 0.7500, 0.5000)
Be (0.7500, 0.2500, 0.5000)
Zn (0.6084, 0.6084, 0.2169)
Zn (0.3916, 0.3916, 0.7831)
Al (0.0000, 0.0000, 0.0000)



10.
First-principles (meta-GGA SCAN) data for a crystal of Be2AlZn2 relaxed with PBEsol, as listed in the Alexandria database.

Results
**Spin magnetization**: 0.00 μB/cell
**V**: 12.39 A^3/atom
**Formation energy**: 0.1655 eV per atom

a b c (Å): 2.5121 7.0235 7.0235
angles (deg): 90.00 90.00 90.00
Atoms (fractional coordinates):
Zn (0.5000, 0.3183, 0.1817)
Zn (0.5000, 0.1817, 0.6817)
Zn (0.5000, 0.6817, 0.8183)
Zn (0.5000, 0.8183, 0.3183)
Be (0.0000, 0.6142, 0.1142)
Be (0.0000, 0.3858, 0.8858)
Be (0.0000, 0.8858, 0.6142)
Be (0.0000, 0.1142, 0.3858)
Al (0.0000, 0.5000, 0.5000)
Al (0.0000, 0.0000, 0.0000)



11.
First-principles (meta-GGA SCAN) data for a crystal of Zr2BeAlZn relaxed with PBEsol, as listed in the Alexandria database.

Results
**Spin magnetization**: 0.00 μB/cell
**V**: 20.29 A^3/atom
**Formation energy**: 0.6277 eV per atom

a b c (Å): 4.0815 4.9859 4.9859
angles (deg): 90.00 90.00 90.00
Atoms (fractional coordinates):
Al (0.0000, 0.0000, 0.0000)
Zr (0.0000, 0.0000, 0.5000)
Zr (0.0000, 0.5000, 0.0000)
Zn (0.5000, 0.5000, 0.5000)
Be (0.5000, 0.0000, 0.0000)



12.
First-principles (meta-GGA SCAN) data for a crystal of ZrBe2Al relaxed with PBEsol, as listed in the Alexandria database.

Results
**Spin magnetization**: 0.00 μB/cell
**V**: 14.41 A^3/atom
**Formation energy**: 0.3307 eV per atom

a b c (Å): 2.7807 2.7807 8.7532
angles (deg): 80.86 80.86 60.00
Atoms (fractional coordinates):
Al (0.0000, 0.0000, 0.0000)
Zr (0.5000, 0.5000, 0.5000)
Be (0.2564, 0.2564, 0.2307)
Be (0.7436, 0.7436, 0.7693)



> Look up the spin magnetization of the eleventh one.

0.00 μB/cell